The following is a GGA+U calculation of a relaxed structure of V2O3F3, from Alexandria via LeMat-Bulk.

## Properties
- magnetic moment (μB/atom) = 0.125
- energy above the lowest structure with this stoichiometry (meV per atom) = 12

a b c (Å): 5.290 5.350 9.237
angles (deg): 75.06 73.29 60.57
Each line ends with the local moment (μB).
Fractional coordinates of all 16 atoms:
F1 0.116 0.670 0.622  -0.01
F2 0.405 0.866 0.376  0.01
F3 0.185 0.080 0.121  -0.01
F4 0.085 0.629 0.120  0.01
F5 0.564 0.128 0.621  0.01
F6 0.948 0.369 0.877  0.01
O1 0.397 0.827 0.879  -0.13
O2 0.663 0.575 0.619  -0.07
O3 0.313 0.409 0.380  -0.12
O4 0.643 0.163 0.125  -0.07
O5 0.849 0.338 0.369  -0.07
O6 0.854 0.925 0.873  -0.07
V1 0.539 0.489 0.499  0.23
V2 0.723 0.755 0.760  1.04
V3 0.253 0.265 0.260  1.01
V4 0.962 0.012 0.999  0.23